A relaxed Si3NiCl crystal. Source: Alexandria via LeMat-Bulk, functional PBE.

Its uncorrected formation energy is 1.431 eV per atom. Its energy above the most stable polymorph in this dataset is 1089 meV/atom.

It has space group Pm-3m (No. 221), with a = 4.5853 Å, b = 4.5853 Å, c = 4.5853 Å, α = 90.00°, β = 90.00° and γ = 90.00°. Symmetry generates all atoms from Si at (0.0000, 0.0000, 0.5000), Ni at (0.5000, 0.5000, 0.5000) and Cl at (0.0000, 0.0000, 0.0000).



A relaxed DyBrCl2 crystal. Source: Alexandria via LeMat-Bulk, functional PBE.

Its uncorrected formation energy is -2.131 eV per atom. Its energy above the most stable polymorph in this dataset is 0 meV/atom.

It has space group Cc (No. 9), with a = 7.7569 Å, b = 11.6538 Å, c = 7.0731 Å, α = 90.00°, β = 118.56° and γ = 90.00°. Symmetry generates all atoms from Dy at (0.0000, 0.0911, 0.0000), Br at (0.2285, 0.0825, 0.7887), Cl at (0.2415, 0.2520, 0.2544) and Cl at (0.2943, 0.4329, 0.7090).



A relaxed BeNiAg crystal. Source: Alexandria via LeMat-Bulk, functional PBE.

Its energy above the most stable polymorph in this dataset is 698 meV/atom.

It has space group F-43m (No. 216), with a = 5.6665 Å, b = 5.6665 Å, c = 5.6665 Å, α = 90.00°, β = 90.00° and γ = 90.00°. Symmetry generates all atoms from Be at (0.0000, 0.0000, 0.0000), Ni at (0.0000, 0.0000, 0.5000) and Ag at (0.2500, 0.2500, 0.2500).



A relaxed Ce3Sm4ZrN8 crystal. Source: Alexandria via LeMat-Bulk, functional PBE.

Its uncorrected formation energy is -1.529 eV per atom.

It has space group R-3m (No. 166, hexagonal axes), with a = 7.0624 Å, b = 7.0624 Å, c = 17.3018 Å, α = 90.00°, β = 90.00° and γ = 120.00°. Symmetry generates all atoms from Ce at (0.0000, 0.5000, 0.0000), Sm at (0.0000, 0.0000, 0.5000), Sm at (0.0000, 0.5000, 0.5000), Zr at (0.0000, 0.0000, 0.0000), N at (0.0000, 0.0000, 0.2531) and N at (0.0119, 0.5060, 0.7439).



A relaxed BaSc3S crystal. Source: Alexandria via LeMat-Bulk, functional PBE.

Its uncorrected formation energy is -0.387 eV per atom. Its energy above the most stable polymorph in this dataset is 0 meV/atom.

It has space group Pm-3m (No. 221), with a = 5.1225 Å, b = 5.1225 Å, c = 5.1225 Å, α = 90.00°, β = 90.00° and γ = 90.00°. Symmetry generates all atoms from Ba at (0.0000, 0.0000, 0.0000), Sc at (0.0000, 0.5000, 0.5000) and S at (0.5000, 0.5000, 0.5000).



A relaxed Sc2TlRh4 crystal. Source: Alexandria via LeMat-Bulk, functional PBE.

The value obtained for the calculated total energy is -6.68 eV/atom.

It has space group I4/mmm (No. 139), with a = 6.2047 Å, b = 6.2047 Å, c = 6.5762 Å, α = 90.00°, β = 90.00° and γ = 90.00°. Symmetry generates all atoms from Sc at (0.0000, 0.5000, 0.0000), Tl at (0.0000, 0.0000, 0.0000) and Rh at (0.2500, 0.2500, 0.2500).



A relaxed Tb2PrRh9 crystal. Source: Alexandria via LeMat-Bulk, functional PBE.

The value obtained for the calculated total energy is -7.23 eV/atom.

It has space group R-3m (No. 166, hexagonal axes), with a = 5.3008 Å, b = 5.3008 Å, c = 26.3309 Å, α = 90.00°, β = 90.00° and γ = 120.00°. Symmetry generates all atoms from Tb at (0.0000, 0.0000, 0.1394), Pr at (0.0000, 0.0000, 0.0000), Rh at (0.0000, 0.0000, 0.3330), Rh at (0.0000, 0.0000, 0.5000) and Rh at (0.9997, 0.4999, 0.0830).



A relaxed BaZr2Pb crystal. Source: Alexandria via LeMat-Bulk, functional PBE.

The value obtained for the calculated total energy is -5.47 eV/atom.

It has space group C2/m (No. 12), with a = 11.5784 Å, b = 3.3410 Å, c = 6.1926 Å, α = 90.00°, β = 102.04° and γ = 90.00°. Symmetry generates all atoms from Ba at (0.0000, 0.0000, 0.0000), Zr at (0.2249, 0.0000, 0.6954) and Pb at (0.0000, 0.5000, 0.5000).



A relaxed ErPt3Rh crystal. Source: Alexandria via LeMat-Bulk, functional PBE.

Its energy above the most stable polymorph in this dataset is 112 meV/atom.

It has space group Cmcm (No. 63), with a = 6.5045 Å, b = 11.2516 Å, c = 5.2189 Å, α = 90.00°, β = 90.00° and γ = 90.00°. Symmetry generates all atoms from Er at (0.0000, 0.1665, 0.2500), Pt at (0.0000, 0.3000, 0.7500), Pt at (0.2001, 0.0998, 0.7500) and Rh at (0.0000, 0.5000, 0.0000).



A relaxed YCo2Cl crystal. Source: Alexandria via LeMat-Bulk, functional PBE.

Its uncorrected formation energy is 0.220 eV per atom. Its energy above the most stable polymorph in this dataset is 636 meV/atom.

It has space group I-4m2 (No. 119), with a = 4.4880 Å, b = 4.4880 Å, c = 6.8703 Å, α = 90.00°, β = 90.00° and γ = 90.00°. Symmetry generates all atoms from Y at (0.0000, 0.0000, 0.0000), Co at (0.0000, 0.0000, 0.5000), Co at (0.0000, 0.5000, 0.2500) and Cl at (0.0000, 0.5000, 0.7500).



A relaxed NiAs2H crystal. Source: Alexandria via LeMat-Bulk, functional PBE.

Its energy above the most stable polymorph in this dataset is 362 meV/atom.

It has space group I-42d (No. 122), with a = 4.2834 Å, b = 4.2834 Å, c = 12.8538 Å, α = 90.00°, β = 90.00° and γ = 90.00°. Symmetry generates all atoms from Ni at (0.0000, 0.0000, 0.0000), As at (0.2082, 0.2500, 0.6250) and H at (0.0000, 0.0000, 0.5000).



A relaxed Na2ScTcO6 crystal. Source: Alexandria via LeMat-Bulk, functional PBE.

Its uncorrected formation energy is -1.787 eV per atom.

It has space group P-3m1 (No. 164), with a = 6.4298 Å, b = 6.4298 Å, c = 5.4646 Å, α = 90.00°, β = 90.00° and γ = 120.00°. Symmetry generates all atoms from Na at (0.3333, 0.6667, 0.3255), Sc at (0.0000, 0.0000, 0.0000), Tc at (0.0000, 0.0000, 0.5000) and O at (0.1335, 0.2670, 0.2817).



A relaxed BeCrGaSi2 crystal. Source: Alexandria via LeMat-Bulk, functional PBE.

Its uncorrected formation energy is 0.761 eV per atom.

It has space group P4/mmm (No. 123), with a = 4.4175 Å, b = 4.4175 Å, c = 4.6880 Å, α = 90.00°, β = 90.00° and γ = 90.00°. Symmetry generates all atoms from Be at (0.0000, 0.0000, 0.0000), Cr at (0.5000, 0.5000, 0.5000), Ga at (0.5000, 0.5000, 0.0000) and Si at (0.0000, 0.5000, 0.5000).



A relaxed Zr2MnCdI crystal. Source: Alexandria via LeMat-Bulk, functional PBE.

Its uncorrected formation energy is 0.560 eV per atom.

It has space group P4/mmm (No. 123), with a = 4.9246 Å, b = 4.9246 Å, c = 4.8616 Å, α = 90.00°, β = 90.00° and γ = 90.00°. Symmetry generates all atoms from Zr at (0.0000, 0.5000, 0.0000), Mn at (0.0000, 0.0000, 0.0000), Cd at (0.5000, 0.5000, 0.5000) and I at (0.0000, 0.0000, 0.5000).



A relaxed CaMg4Pb crystal. Source: Alexandria via LeMat-Bulk, functional PBE.

The value obtained for the calculated total energy is -2.09 eV/atom.

It has space group F-43m (No. 216), with a = 8.6276 Å, b = 8.6276 Å, c = 8.6276 Å, α = 90.00°, β = 90.00° and γ = 90.00°. Symmetry generates all atoms from Ca at (0.0000, 0.0000, 0.0000), Mg at (0.1249, 0.1249, 0.6249) and Pb at (0.2500, 0.2500, 0.2500).



A relaxed LiLaSi2Pt2 crystal. Source: Alexandria via LeMat-Bulk, functional PBE.

Its uncorrected formation energy is -0.987 eV per atom.

It has space group P-3m1 (No. 164), with a = 4.2228 Å, b = 4.2228 Å, c = 6.9651 Å, α = 90.00°, β = 90.00° and γ = 120.00°. Symmetry generates all atoms from Li at (0.0000, 0.0000, 0.0000), La at (0.0000, 0.0000, 0.5000), Si at (0.3333, 0.6667, 0.7892) and Pt at (0.3333, 0.6667, 0.1467).



A relaxed SrCuAu11 crystal. Source: Alexandria via LeMat-Bulk, functional PBE.

The value obtained for the calculated total energy is -3.42 eV/atom.

It has space group C2/m (No. 12), with a = 5.5522 Å, b = 13.6062 Å, c = 7.2663 Å, α = 90.00°, β = 112.24° and γ = 90.00°. Symmetry generates all atoms from Sr at (0.0000, 0.0000, 0.0000), Cu at (0.0000, 0.5000, 0.5000), Au at (0.0000, 0.0000, 0.5000), Au at (0.1002, 0.3938, 0.2206), Au at (0.1913, 0.1707, 0.3574) and Au at (0.2500, 0.2500, 0.0000).



A relaxed Sr2GeBi2 crystal. Source: Alexandria via LeMat-Bulk, functional PBE.

The value obtained for the calculated total energy is -3.66 eV/atom.

It has space group P4/mbm (No. 127), with a = 8.2786 Å, b = 8.2786 Å, c = 4.9064 Å, α = 90.00°, β = 90.00° and γ = 90.00°. Symmetry generates all atoms from Sr at (0.1725, 0.3275, 0.0000), Ge at (0.0000, 0.0000, 0.5000) and Bi at (0.1359, 0.6359, 0.5000).



A relaxed NdPaSi crystal. Source: Alexandria via LeMat-Bulk, functional PBE.

Its uncorrected formation energy is 0.009 eV per atom. Its energy above the most stable polymorph in this dataset is 0 meV/atom.

It has space group Cmce (No. 64), with a = 9.0798 Å, b = 6.8835 Å, c = 10.8518 Å, α = 90.00°, β = 90.00° and γ = 90.00°. Symmetry generates all atoms from Nd at (0.1952, 0.0000, 0.0000), Pa at (0.0000, 0.1710, 0.2760) and Si at (0.0000, 0.1568, 0.5425).



A relaxed NaGaPC crystal. Source: Alexandria via LeMat-Bulk, functional PBE.

Its energy above the most stable polymorph in this dataset is 0 meV/atom.

It has space group Imm2 (No. 44), with a = 2.8975 Å, b = 4.6623 Å, c = 8.8891 Å, α = 90.00°, β = 90.00° and γ = 90.00°. Symmetry generates all atoms from Na at (0.0000, 0.0000, 0.0000), Ga at (0.0000, 0.0000, 0.3401), P at (0.0000, 0.5000, 0.1887) and C at (0.0000, 0.0000, 0.5723).